i:
Here is an optimized crystal structure of TeSN2Cl from the Alexandria database. Energies are from PBE-GGA.

The density of states at the Fermi level comes out at 3.76 states/eV/f.u. Its space group is P4/mmm, No. 123. The value obtained for the total magnetization is 0.00 μB per formula unit. For the volume, the calculation gives 20.8 Å³/atom. The density comes out at 3557 kg/m³.

a = 3.679 Å, b = 3.679 Å, c = 7.697 Å
α = 90.00°, β = 90.00°, γ = 90.00°
Sites, in units of the cell vectors:
Cl: 0.500 0.500 0.500
Te: 0.000 0.000 0.500
S: 0.000 0.000 0.000
N: 0.500 0.000 0.000
N: 0.000 0.500 0.000

ii:
Here is an optimized crystal structure of TeSN2Cl from the Alexandria database. Energies are from PBE-GGA.

The density of states at the Fermi level comes out at 4.22 states/eV/f.u. Its space group is P4/mmm, No. 123. The value obtained for the total magnetization is 0.96 μB per formula unit. For the volume, the calculation gives 23.1 Å³/atom. The density comes out at 3208 kg/m³.

a = 3.763 Å, b = 3.763 Å, c = 8.156 Å
α = 90.00°, β = 90.00°, γ = 90.00°
Last column: magnetic moment on the atom in μB.
Sites, in units of the cell vectors:
S: 0.500 0.500 0.500  0.01
Cl: 0.000 0.000 0.000  -0.04
Te: 0.000 0.000 0.500  0.01
N: 0.500 0.000 0.000  0.35
N: 0.000 0.500 0.000  0.35

Tell me which of them is the most stable. Sure, it is i.

i:
Here is an optimized crystal structure of Te2SNCl from the Alexandria database. Energies are from PBE-GGA.

The density of states at the Fermi level comes out at 3.17 states/eV/f.u. Its space group is P4/mmm, No. 123. The value obtained for the total magnetization is 0.00 μB per formula unit. For the volume, the calculation gives 23.9 Å³/atom. The density comes out at 4682 kg/m³.

a = 6.056 Å, b = 6.056 Å, c = 3.257 Å
α = 90.00°, β = 90.00°, γ = 90.00°
Sites, in units of the cell vectors:
Te: 0.500 0.000 0.000
Te: 0.000 0.500 0.000
Cl: 0.000 0.000 0.000
N: 0.000 0.000 0.500
S: 0.500 0.500 0.500

ii:
Here is an optimized crystal structure of Te2SNCl from the Alexandria database. Energies are from PBE-GGA.

The density of states at the Fermi level comes out at 5.06 states/eV/f.u. Its space group is P4/mmm, No. 123. The value obtained for the total magnetization is 0.00 μB per formula unit. For the volume, the calculation gives 22.9 Å³/atom. The density comes out at 4886 kg/m³.

a = 5.914 Å, b = 5.914 Å, c = 3.273 Å
α = 90.00°, β = 90.00°, γ = 90.00°
Sites, in units of the cell vectors:
Te: 0.500 0.000 0.000
Te: 0.000 0.500 0.000
N: 0.000 0.000 0.500
S: 0.000 0.000 0.000
Cl: 0.500 0.500 0.500

Tell me which of them is the most stable. Sure, it is ii.

i:
Here is an optimized crystal structure of TeSNCl2 from the Alexandria database. Energies are from PBE-GGA.

The density of states at the Fermi level comes out at 0.97 states/eV/f.u. Its space group is P4/mmm, No. 123. The value obtained for the total magnetization is 3.00 μB per formula unit. For the volume, the calculation gives 28.3 Å³/atom. The density comes out at 2868 kg/m³.

a = 5.352 Å, b = 5.352 Å, c = 4.945 Å
α = 90.00°, β = 90.00°, γ = 90.00°
Last column: magnetic moment on the atom in μB.
Sites, in units of the cell vectors:
Cl: 0.000 0.500 0.000  0.02
Cl: 0.500 0.000 0.000  0.02
S: 0.000 0.000 0.500  0.01
Te: 0.000 0.000 0.000  0.01
N: 0.500 0.500 0.500  1.93

ii:
Here is an optimized crystal structure of TeSNCl2 from the Alexandria database. Energies are from PBE-GGA.

The density of states at the Fermi level comes out at 1.68 states/eV/f.u. Its space group is P4/mmm, No. 123. The value obtained for the total magnetization is 0.00 μB per formula unit. For the volume, the calculation gives 17.9 Å³/atom. The density comes out at 4534 kg/m³.

a = 4.246 Å, b = 4.246 Å, c = 4.969 Å
α = 90.00°, β = 90.00°, γ = 90.00°
Sites, in units of the cell vectors:
Cl: 0.500 0.000 0.000
Cl: 0.000 0.500 0.000
S: 0.000 0.000 0.500
Te: 0.500 0.500 0.500
N: 0.000 0.000 0.000

Tell me which of them is the most stable. Sure, it is i.

i:
Here is an optimized crystal structure of TiSN2Cl from the Alexandria database. Energies are from PBE-GGA.

The density of states at the Fermi level comes out at 2.02 states/eV/f.u. Its space group is P4/mmm, No. 123. The value obtained for the total magnetization is 0.00 μB per formula unit. For the volume, the calculation gives 12.8 Å³/atom. The density comes out at 3718 kg/m³.

a = 3.804 Å, b = 3.804 Å, c = 4.427 Å
α = 90.00°, β = 90.00°, γ = 90.00°
Sites, in units of the cell vectors:
Cl: 0.000 0.000 0.000
S: 0.000 0.000 0.500
N: 0.500 0.000 0.000
N: 0.000 0.500 0.000
Ti: 0.500 0.500 0.500

ii:
Here is an optimized crystal structure of TiSN2Cl from the Alexandria database. Energies are from PBE-GGA.

The density of states at the Fermi level comes out at 3.30 states/eV/f.u. Its space group is P4/mmm, No. 123. The value obtained for the total magnetization is 0.00 μB per formula unit. For the volume, the calculation gives 16.1 Å³/atom. The density comes out at 2963 kg/m³.

a = 3.815 Å, b = 3.815 Å, c = 5.522 Å
α = 90.00°, β = 90.00°, γ = 90.00°
Sites, in units of the cell vectors:
N: 0.000 0.500 0.000
N: 0.500 0.000 0.000
S: 0.000 0.000 0.500
Cl: 0.500 0.500 0.500
Ti: 0.000 0.000 0.000

Tell me which of them is the most stable. Sure, it is ii.

i:
Here is an optimized crystal structure of TlSN2Cl from the Alexandria database. Energies are from PBE-GGA.

The density of states at the Fermi level comes out at 3.02 states/eV/f.u. Its space group is P4/mmm, No. 123. The value obtained for the total magnetization is 2.71 μB per formula unit. For the volume, the calculation gives 17.7 Å³/atom. The density comes out at 5634 kg/m³.

a = 4.220 Å, b = 4.220 Å, c = 4.964 Å
α = 90.00°, β = 90.00°, γ = 90.00°
Last column: magnetic moment on the atom in μB.
Sites, in units of the cell vectors:
S: 0.000 0.000 0.500  0.08
N: 0.000 0.500 0.000  0.92
N: 0.500 0.000 0.000  0.92
Tl: 0.500 0.500 0.500  0.01
Cl: 0.000 0.000 0.000  -0.02

ii:
Here is an optimized crystal structure of TlSN2Cl from the Alexandria database. Energies are from PBE-GGA.

The density of states at the Fermi level comes out at 1.98 states/eV/f.u. Its space group is P4/mmm, No. 123. The value obtained for the total magnetization is 4.27 μB per formula unit. For the volume, the calculation gives 22.2 Å³/atom. The density comes out at 4486 kg/m³.

a = 4.455 Å, b = 4.455 Å, c = 5.593 Å
α = 90.00°, β = 90.00°, γ = 90.00°
Last column: magnetic moment on the atom in μB.
Sites, in units of the cell vectors:
Tl: 0.000 0.000 0.000  0.00
Cl: 0.500 0.500 0.500  0.12
N: 0.000 0.500 0.000  1.31
N: 0.500 0.000 0.000  1.31
S: 0.000 0.000 0.500  0.17

Tell me which of them is the most stable. Sure, it is ii.

i:
Here is an optimized crystal structure of TlS2NCl from the Alexandria database. Energies are from PBE-GGA.

The density of states at the Fermi level comes out at 4.65 states/eV/f.u. Its space group is P4/mmm, No. 123. The value obtained for the total magnetization is 5.25 μB per formula unit. For the volume, the calculation gives 30.9 Å³/atom. The density comes out at 3417 kg/m³.

a = 5.314 Å, b = 5.314 Å, c = 5.473 Å
α = 90.00°, β = 90.00°, γ = 90.00°
Last column: magnetic moment on the atom in μB.
Sites, in units of the cell vectors:
N: 0.500 0.500 0.500  1.92
S: 0.500 0.000 0.000  0.67
S: 0.000 0.500 0.000  0.67
Tl: 0.000 0.000 0.000  -0.01
Cl: 0.000 0.000 0.500  0.11

ii:
Here is an optimized crystal structure of TlS2NCl from the Alexandria database. Energies are from PBE-GGA.

The density of states at the Fermi level comes out at 3.14 states/eV/f.u. Its space group is P4/mmm, No. 123. The value obtained for the total magnetization is 2.23 μB per formula unit. For the volume, the calculation gives 20.9 Å³/atom. The density comes out at 5061 kg/m³.

a = 5.009 Å, b = 5.009 Å, c = 4.158 Å
α = 90.00°, β = 90.00°, γ = 90.00°
Last column: magnetic moment on the atom in μB.
Sites, in units of the cell vectors:
Cl: 0.000 0.000 0.000  0.05
Tl: 0.500 0.500 0.500  0.00
S: 0.500 0.000 0.000  0.14
S: 0.000 0.500 0.000  0.14
N: 0.000 0.000 0.500  1.21

Tell me which of them is the most stable. Sure, it is ii.